(1)
The following is a GGA-PBE calculation of a geometry-optimized Sc8Zn2Tc structure, from Alexandria via LeMat-Bulk.

abc: 7.734 7.734 7.734
angles: 144.29 119.64 72.15
Element x y z (fractional)
Sc  0.127  0.127  0.000
Sc  0.132  0.351  0.781
Sc  0.329  0.000  0.329
Sc  0.430  0.649  0.781
Sc  0.570  0.351  0.219
Sc  0.671  0.000  0.671
Sc  0.868  0.649  0.219
Sc  0.873  0.873  0.000
Zn  0.297  0.797  0.500
Zn  0.703  0.203  0.500
Tc  0.000  0.500  0.500

Computed properties:
ρ in g/cm³: 4.239
Energy of formation from the pure elements in meV per atom: -123
Symmetry: Immm
E in eV for the cell shown: -64.919
E above lowest polymorph in eV per atom: 0.0881

(2)
The following is a GGA-PBE calculation of a geometry-optimized Rb4NaAg3Br12 structure, from Alexandria via LeMat-Bulk.

abc: 9.512 9.512 9.512
angles: 109.47 109.47 109.47
Element x y z (fractional)
Rb  0.000  0.000  0.500
Rb  0.000  0.500  0.000
Rb  0.500  0.000  0.000
Rb  0.500  0.500  0.500
Na  0.000  0.000  0.000
Ag  0.000  0.500  0.500
Ag  0.500  0.000  0.500
Ag  0.500  0.500  0.000
Br  0.000  0.263  0.263
Br  0.000  0.737  0.737
Br  0.250  0.500  0.750
Br  0.250  0.750  0.500
Br  0.263  0.000  0.263
Br  0.263  0.263  0.000
Br  0.500  0.250  0.750
Br  0.500  0.750  0.250
Br  0.737  0.000  0.737
Br  0.737  0.737  0.000
Br  0.750  0.250  0.500
Br  0.750  0.500  0.250

Computed properties:
ρ in g/cm³: 4.129
Symmetry: Im-3m
E in eV for the cell shown: -52.785
Formation energy from raw total energies in meV/atom: -948

(3)
The following is a GGA-PBE calculation of a geometry-optimized Ac2AgSb structure, from Alexandria via LeMat-Bulk.

abc: 5.569 5.569 4.203
angles: 90.00 90.00 90.00
Element x y z (fractional)
Ac  0.000  0.500  0.000
Ac  0.500  0.000  0.000
Ag  0.000  0.000  0.500
Sb  0.500  0.500  0.500

Computed properties:
ρ in g/cm³: 8.708
Symmetry: P4/mmm
E in eV for the cell shown: -17.703
Formation energy from raw total energies in meV/atom: -628
E above lowest polymorph in eV per atom: 0.0000

(4)
The following is a GGA-PBE calculation of a geometry-optimized BaIn2Ni structure, from Alexandria via LeMat-Bulk.

abc: 5.386 5.386 4.313
angles: 90.00 90.00 115.29
Element x y z (fractional)
Ba  0.000  0.000  0.000
In  0.331  0.669  0.500
In  0.669  0.331  0.500
Ni  0.500  0.500  0.000

Computed properties:
ρ in g/cm³: 6.249
Energy of formation from the pure elements in meV per atom: -196
Symmetry: Cmmm
E in eV for the cell shown: -13.966

(5)
The following is a GGA-PBE calculation of a geometry-optimized Ba2CuRe structure, from Alexandria via LeMat-Bulk.

abc: 9.860 9.860 9.860
angles: 22.12 22.12 22.12
Element x y z (fractional)
Ba  0.248  0.248  0.248
Ba  0.752  0.752  0.752
Cu  0.000  0.000  0.000
Re  0.500  0.500  0.500

Computed properties:
ρ in g/cm³: 7.306
Energy of formation from the pure elements in meV per atom: 1172
Symmetry: R-3m
E in eV for the cell shown: -15.702
E above lowest polymorph in eV per atom: 0.5002

(6)
The following is a GGA-PBE calculation of a geometry-optimized BeMoBr2 structure, from Alexandria via LeMat-Bulk.

abc: 6.852 6.852 6.852
angles: 154.00 139.88 48.43
Element x y z (fractional)
Be  0.000  0.000  0.000
Mo  0.851  0.351  0.500
Br  0.391  0.891  0.500
Br  0.684  0.684  0.000

Computed properties:
ρ in g/cm³: 4.855
Symmetry: Imm2
E in eV for the cell shown: -15.573
Formation energy from raw total energies in meV/atom: 583
E above lowest polymorph in eV per atom: 0.5542

(7)
The following is a GGA-PBE calculation of a geometry-optimized Sr2GdBiO6 structure, from Alexandria via LeMat-Bulk.

abc: 5.978 6.124 10.407
angles: 90.00 124.89 90.00
Element x y z (fractional)
Sr  0.238  0.046  0.250
Sr  0.238  0.454  0.750
Sr  0.762  0.546  0.250
Sr  0.762  0.954  0.750
Gd  0.500  0.000  0.000
Gd  0.500  0.500  0.500
Bi  0.000  0.000  0.500
Bi  0.000  0.500  0.000
O  0.140  0.213  0.946
O  0.140  0.287  0.446
O  0.237  0.698  0.950
O  0.237  0.802  0.450
O  0.339  0.037  0.741
O  0.339  0.463  0.241
O  0.661  0.537  0.759
O  0.661  0.963  0.259
O  0.763  0.198  0.550
O  0.763  0.302  0.050
O  0.860  0.713  0.554
O  0.860  0.787  0.054

Computed properties:
ρ in g/cm³: 6.775
Symmetry: P2_1/c
E in eV for the cell shown: -150.349
Formation energy from raw total energies in meV/atom: -2410

(8)
The following is a GGA-PBE calculation of a geometry-optimized TbNd3Y2As6 structure, from Alexandria via LeMat-Bulk.

abc: 7.279 7.279 7.273
angles: 99.59 99.59 119.99
Element x y z (fractional)
Tb  0.000  0.000  0.000
Nd  0.167  0.833  0.500
Nd  0.500  0.500  0.500
Nd  0.833  0.167  0.500
Y  0.333  0.667  0.000
Y  0.667  0.333  0.000
As  0.081  0.414  0.242
As  0.253  0.253  0.759
As  0.414  0.081  0.242
As  0.586  0.919  0.758
As  0.747  0.747  0.241
As  0.919  0.586  0.758

Computed properties:
ρ in g/cm³: 6.432
Energy of formation from the pure elements in meV per atom: -1528
Symmetry: C2/m
E in eV for the cell shown: -78.090

(9)
The following is a GGA-PBE calculation of a geometry-optimized Ba2NaLi2 structure, from Alexandria via LeMat-Bulk.

abc: 9.186 9.186 5.164
angles: 90.00 90.00 90.00
Element x y z (fractional)
Ba  0.176  0.324  0.000
Ba  0.324  0.824  0.000
Ba  0.676  0.176  0.000
Ba  0.824  0.676  0.000
Na  0.000  0.000  0.500
Na  0.500  0.500  0.500
Li  0.117  0.617  0.500
Li  0.383  0.117  0.500
Li  0.617  0.883  0.500
Li  0.883  0.383  0.500

Computed properties:
ρ in g/cm³: 2.374
Energy of formation from the pure elements in meV per atom: 40
Symmetry: P4/mbm
E in eV for the cell shown: -17.582
E above lowest polymorph in eV per atom: 0.0058

(10)
The following is a GGA-PBE calculation of a geometry-optimized PmCd12Ag6 structure, from Alexandria via LeMat-Bulk.

abc: 7.916 7.916 7.916
angles: 105.30 105.30 105.30
Element x y z (fractional)
Pm  0.000  0.000  0.000
Cd  0.113  0.500  0.887
Cd  0.113  0.887  0.500
Cd  0.128  0.376  0.376
Cd  0.376  0.128  0.376
Cd  0.376  0.376  0.128
Cd  0.500  0.113  0.887
Cd  0.500  0.887  0.113
Cd  0.624  0.624  0.872
Cd  0.624  0.872  0.624
Cd  0.872  0.624  0.624
Cd  0.887  0.113  0.500
Cd  0.887  0.500  0.113
Ag  0.295  0.295  0.705
Ag  0.295  0.705  0.295
Ag  0.295  0.705  0.705
Ag  0.705  0.295  0.295
Ag  0.705  0.295  0.705
Ag  0.705  0.705  0.295

Computed properties:
ρ in g/cm³: 8.252
Energy of formation from the pure elements in meV per atom: -14
Symmetry: R-3m
E in eV for the cell shown: -33.108

(11)
The following is a GGA-PBE calculation of a geometry-optimized PrPu2Ga structure, from Alexandria via LeMat-Bulk.

abc: 5.277 5.277 5.277
angles: 60.00 60.00 60.00
Element x y z (fractional)
Pr  0.000  0.000  0.000
Pu  0.250  0.250  0.250
Pu  0.750  0.750  0.750
Ga  0.500  0.500  0.500

Computed properties:
ρ in g/cm³: 11.165
Energy of formation from the pure elements in meV per atom: 89
Symmetry: Fm-3m
E in eV for the cell shown: -36.116
E above lowest polymorph in eV per atom: 0.2091

(12)
The following is a GGA-PBE calculation of a geometry-optimized Ba2YW structure, from Alexandria via LeMat-Bulk.

abc: 8.775 8.775 8.775
angles: 95.43 95.43 144.17
Element x y z (fractional)
Ba  0.375  0.033  0.158
Ba  0.783  0.625  0.658
Ba  0.875  0.217  0.842
Ba  0.967  0.125  0.342
Y  0.250  0.750  0.500
Y  0.500  0.500  0.000
W  0.000  0.000  0.000
W  0.750  0.250  0.500

Computed properties:
ρ in g/cm³: 4.830
Energy of formation from the pure elements in meV per atom: 1138
Symmetry: I-42d
E in eV for the cell shown: -37.420
E above lowest polymorph in eV per atom: 0.3923

(13)
The following is a GGA-PBE calculation of a geometry-optimized RbSbPbI6 structure, from Alexandria via LeMat-Bulk.

abc: 8.163 8.163 8.063
angles: 90.00 90.00 120.00
Element x y z (fractional)
Rb  0.000  0.000  0.000
Sb  0.667  0.333  0.500
Pb  0.333  0.667  0.500
I  0.381  0.019  0.726
I  0.381  0.362  0.274
I  0.638  0.019  0.274
I  0.638  0.619  0.726
I  0.981  0.362  0.726
I  0.981  0.619  0.274

Computed properties:
ρ in g/cm³: 4.196
Symmetry: P312
E in eV for the cell shown: -24.337
Formation energy from raw total energies in meV/atom: -693

(14)
The following is a GGA-PBE calculation of a geometry-optimized MnBe2TeS structure, from Alexandria via LeMat-Bulk.

abc: 4.592 4.592 4.024
angles: 90.00 90.00 90.00
Element x y z (fractional)
Mn  0.000  0.000  0.000
Be  0.000  0.500  0.000
Be  0.500  0.000  0.000
Te  0.500  0.500  0.500
S  0.000  0.000  0.500

Computed properties:
ρ in g/cm³: 4.553
Symmetry: P4/mmm
E in eV for the cell shown: -20.695
Formation energy from raw total energies in meV/atom: 639

(15)
The following is a GGA-PBE calculation of a geometry-optimized Sm2Tm7 structure, from Alexandria via LeMat-Bulk.

abc: 6.095 6.095 8.613
angles: 90.00 90.00 120.00
Element x y z (fractional)
Sm  0.333  0.667  0.000
Sm  0.667  0.333  0.000
Tm  0.000  0.000  0.000
Tm  0.000  0.332  0.664
Tm  0.000  0.668  0.336
Tm  0.332  0.000  0.664
Tm  0.332  0.332  0.336
Tm  0.668  0.000  0.336
Tm  0.668  0.668  0.664

Computed properties:
ρ in g/cm³: 8.889
Energy of formation from the pure elements in meV per atom: 26
Symmetry: P-31m
E in eV for the cell shown: -40.504
E above lowest polymorph in eV per atom: 0.0000

(16)
The following is a GGA-PBE calculation of a geometry-optimized Y2AsRu2 structure, from Alexandria via LeMat-Bulk.

abc: 6.581 6.581 4.567
angles: 90.00 90.00 90.00
Element x y z (fractional)
Y  0.178  0.322  0.000
Y  0.322  0.822  0.000
Y  0.678  0.178  0.000
Y  0.822  0.678  0.000
As  0.000  0.000  0.500
As  0.500  0.500  0.500
Ru  0.137  0.637  0.500
Ru  0.363  0.137  0.500
Ru  0.637  0.863  0.500
Ru  0.863  0.363  0.500

Computed properties:
ρ in g/cm³: 7.638
Energy of formation from the pure elements in meV per atom: -438
Symmetry: P4/mbm
E in eV for the cell shown: -76.637

(17)
The following is a GGA-PBE calculation of a geometry-optimized Cs2YTlCl6 structure, from Alexandria via LeMat-Bulk.

abc: 8.128 8.128 8.128
angles: 60.00 60.00 60.00
Element x y z (fractional)
Cs  0.250  0.250  0.250
Cs  0.750  0.750  0.750
Y  0.000  0.000  0.000
Tl  0.500  0.500  0.500
Cl  0.230  0.230  0.770
Cl  0.230  0.770  0.230
Cl  0.230  0.770  0.770
Cl  0.770  0.230  0.230
Cl  0.770  0.230  0.770
Cl  0.770  0.770  0.230

Computed properties:
ρ in g/cm³: 3.376
Symmetry: Fm-3m
E in eV for the cell shown: -41.202
Formation energy from raw total energies in meV/atom: -1958
E above lowest polymorph in eV per atom: 0.0183

(18)
The following is a GGA-PBE calculation of a geometry-optimized BaSi3Tc structure, from Alexandria via LeMat-Bulk.

abc: 4.782 4.782 4.782
angles: 90.00 90.00 90.00
Element x y z (fractional)
Ba  0.000  0.000  0.000
Si  0.000  0.500  0.500
Si  0.500  0.000  0.500
Si  0.500  0.500  0.000
Tc  0.500  0.500  0.500

Computed properties:
ρ in g/cm³: 4.854
Symmetry: Pm-3m
E in eV for the cell shown: -28.662
Formation energy from raw total energies in meV/atom: -21
E above lowest polymorph in eV per atom: 0.0000

(19)
The following is a GGA-PBE calculation of a geometry-optimized Ac2MnAsPt6 structure, from Alexandria via LeMat-Bulk.

abc: 6.712 6.712 8.562
angles: 127.72 127.72 49.14
Element x y z (fractional)
Ac  0.242  0.242  0.202
Ac  0.758  0.758  0.798
Mn  0.500  0.500  0.000
As  0.000  0.000  0.500
Pt  0.245  0.740  0.740
Pt  0.253  0.253  0.617
Pt  0.260  0.755  0.260
Pt  0.740  0.245  0.740
Pt  0.747  0.747  0.383
Pt  0.755  0.260  0.260

Computed properties:
ρ in g/cm³: 13.493
Energy of formation from the pure elements in meV per atom: -775
Symmetry: C2/m
E in eV for the cell shown: -66.029

(20)
The following is a GGA-PBE calculation of a geometry-optimized ErScVZn structure, from Alexandria via LeMat-Bulk.

abc: 4.883 4.883 4.883
angles: 60.00 60.00 60.00
Element x y z (fractional)
Er  0.000  0.000  0.000
Sc  0.500  0.500  0.500
V  0.750  0.750  0.750
Zn  0.250  0.250  0.250

Computed properties:
ρ in g/cm³: 6.626
Energy of formation from the pure elements in meV per atom: 16
Symmetry: F-43m
E in eV for the cell shown: -21.225